Crystalline Fe2NiBiI at its relaxed geometry. Source: Alexandria, functional PBE. Values from VASP.

Summary:
- ΔE_f (raw) (kJ per mole of atoms) = 118.30
- crystal system = tetragonal
- energy (eV per atom) = -4.40
- M_tot (μB per formula unit) = 8.00

```
&SYSTEM
  ibrav = 0, nat = 5, ntyp = 4
/
ATOMIC_SPECIES
I 126.90 I.upf
Fe 55.84 Fe.upf
Bi 208.98 Bi.upf
Ni 58.69 Ni.upf
ATOMIC_POSITIONS angstrom
I -1.303 -1.764 -3.840
Fe -0.601 1.315 -2.162
Fe -2.073 -1.530 -0.355
Bi 0.000 0.000 0.000
Ni 1.370 -1.549 -1.323
CELL_PARAMETERS angstrom
-1.201 2.630 -4.324
2.741 -3.098 -2.646
-4.146 -3.060 -0.710
```